## SrAl4Br (PBE)

Data for SrAl4Br after structural relaxation.

Computed properties:
Formation energy from raw total energies ... -6 kJ per mole of atoms
Density ... 3.25 Mg/m³
Total moment ... 0.0000 μB per atom

The structure in CIF format:
```
data_SrAl4Br
_chemical_formula_sum 'Sr1 Al4 Br1'
_space_group_name_H-M_alt 'P 1'
_space_group_IT_number 1
_cell_length_a 5.838
_cell_length_b 5.838
_cell_length_c 5.838
_cell_angle_alpha 60.00
_cell_angle_beta 60.00
_cell_angle_gamma 60.00
loop_
_space_group_symop_operation_xyz
'x,y,z'
loop_
_atom_site_label
_atom_site_fract_x
_atom_site_fract_y
_atom_site_fract_z
Sr1 0.000 0.000 0.000
Al1 0.878 0.374 0.374
Al2 0.374 0.374 0.878
Al3 0.374 0.878 0.374
Al4 0.374 0.374 0.374
Br1 0.750 0.750 0.750
```